Computed, not measured: a relaxed structure of Na2LiC2O6 at the PBE-GGA level of DFT.

```
Na2LiC2O6
1.0
4.449 -2.529 0.000
4.449 2.529 0.000
-2.880 0.000 5.414
Na Li C O
2 1 2 6
direct
0.195 0.195 0.170 Na
0.805 0.805 0.830 Na
0.000 0.000 0.500 Li
0.451 0.451 0.733 C
0.549 0.549 0.267 C
0.245 0.687 0.227 O
0.290 0.290 0.655 O
0.313 0.755 0.773 O
0.687 0.245 0.227 O
0.710 0.710 0.345 O
0.755 0.313 0.773 O
```

symmetry = C2/m (12)
energy = -6.390 eV per atom
total moment = 1.02 μB per formula unit
formation energy (no corrections) = -1692.3 kJ/mol of formula units
V = 122 Å³/cell

=====

Computed, not measured: a relaxed structure of NaLi2PC at the PBE-GGA level of DFT.

```
NaLi2PC
1.0
4.473 0.000 0.000
0.000 4.473 0.000
0.000 0.000 3.750
Na Li P C
1 2 1 1
direct
0.000 0.000 0.000 Na
0.000 0.500 0.500 Li
0.500 0.000 0.500 Li
0.500 0.500 0.000 P
0.500 0.500 0.500 C
```

symmetry = P4/mmm (123)
energy = -3.621 eV per atom
total moment = 0.00 μB per formula unit
V = 75 Å³/cell

=====

Computed, not measured: a relaxed structure of NaLiRh2C at the PBE-GGA level of DFT.

```
NaLiRh2C
1.0
3.988 0.000 0.000
0.000 3.988 0.000
0.000 0.000 4.681
Na Li Rh C
1 1 2 1
direct
0.000 0.000 0.000 Na
0.500 0.500 0.000 Li
0.000 0.500 0.500 Rh
0.500 0.000 0.500 Rh
0.000 0.000 0.500 C
```

symmetry = P4/mmm (123)
energy = -5.387 eV per atom
total moment = 0.00 μB per formula unit
energy above the most stable polymorph in this dataset = 0.082 eV per atom
V = 74 Å³/cell

=====

Computed, not measured: a relaxed structure of NaLiRh2C at the PBE-GGA level of DFT.

```
NaLiRh2C
1.0
4.006 0.000 0.000
0.000 4.006 0.000
0.000 0.000 4.427
Na Li Rh C
1 1 2 1
direct
0.000 0.000 0.000 Na
0.500 0.500 0.000 Li
0.000 0.500 0.500 Rh
0.500 0.000 0.500 Rh
0.500 0.500 0.500 C
```

symmetry = P4/mmm (123)
energy = -5.469 eV per atom
total moment = 0.00 μB per formula unit
energy above the most stable polymorph in this dataset = 0.000 eV per atom
V = 71 Å³/cell

=====

Computed, not measured: a relaxed structure of NaLi2RuC at the PBE-GGA level of DFT.

```
NaLi2RuC
1.0
4.320 0.000 0.000
0.000 4.320 0.000
0.000 0.000 3.923
Na Li Ru C
1 2 1 1
direct
0.000 0.000 0.000 Na
0.000 0.500 0.500 Li
0.500 0.000 0.500 Li
0.500 0.500 0.000 Ru
0.500 0.500 0.500 C
```

symmetry = P4/mmm (123)
energy = -4.491 eV per atom
total moment = 0.00 μB per formula unit
V = 73 Å³/cell

=====

Computed, not measured: a relaxed structure of Na2LiCSe at the PBE-GGA level of DFT.

```
Na2LiCSe
1.0
4.863 0.000 0.000
0.000 4.863 0.000
0.000 0.000 4.307
Na Li C Se
2 1 1 1
direct
0.000 0.500 0.000 Na
0.500 0.000 0.000 Na
0.000 0.000 0.500 Li
0.000 0.000 0.000 C
0.500 0.500 0.500 Se
```

symmetry = P4/mmm (123)
energy = -3.078 eV per atom
total moment = 3.00 μB per formula unit
formation energy (no corrections) = 180.6 kJ/mol of formula units
V = 102 Å³/cell

=====

Computed, not measured: a relaxed structure of NaLiCSe2 at the PBE-GGA level of DFT.

```
NaLiCSe2
1.0
5.231 0.000 0.000
0.000 5.231 0.000
0.000 0.000 4.521
Na Li C Se
1 1 1 2
direct
0.000 0.000 0.000 Na
0.500 0.500 0.500 Li
0.000 0.000 0.500 C
0.000 0.500 0.000 Se
0.500 0.000 0.000 Se
```

symmetry = P4/mmm (123)
energy = -2.650 eV per atom
total moment = 0.47 μB per formula unit
formation energy (no corrections) = 595.7 kJ/mol of formula units
V = 124 Å³/cell

=====

Computed, not measured: a relaxed structure of NaSrLiC2 at the PBE-GGA level of DFT.

```
NaSrLiC2
1.0
4.807 0.000 0.000
0.000 4.807 0.000
0.000 0.000 5.292
Na Sr Li C
1 1 1 2
direct
0.000 0.000 0.000 Na
0.500 0.500 0.500 Sr
0.500 0.500 0.000 Li
0.000 0.500 0.500 C
0.500 0.000 0.500 C
```

symmetry = P4/mmm (123)
energy = -2.552 eV per atom
total moment = 0.75 μB per formula unit
V = 122 Å³/cell

=====

Computed, not measured: a relaxed structure of Na2LiTlC at the PBE-GGA level of DFT.

```
Na2LiTlC
1.0
5.173 0.000 0.000
0.000 5.173 0.000
0.000 0.000 3.911
Na Li Tl C
2 1 1 1
direct
0.000 0.500 0.000 Na
0.500 0.000 0.000 Na
0.000 0.000 0.000 Li
0.500 0.500 0.500 Tl
0.000 0.000 0.500 C
```

symmetry = P4/mmm (123)
energy = -2.396 eV per atom
total moment = 0.00 μB per formula unit
V = 105 Å³/cell

=====

Computed, not measured: a relaxed structure of LiNbC2 at the PBE-GGA level of DFT.

```
LiNbC2
1.0
-2.811 2.811 2.633
2.811 -2.811 2.633
2.811 2.811 -2.633
Li Nb C
2 2 4
direct
0.000 0.000 0.000 Li
0.750 0.250 0.500 Li
0.250 0.750 0.500 Nb
0.500 0.500 0.000 Nb
0.113 0.125 0.488 C
0.375 0.887 0.012 C
0.637 0.625 0.512 C
0.875 0.363 0.988 C
```

symmetry = I-42d (122)
energy = -6.819 eV per atom
total moment = 0.00 μB per formula unit
energy above the most stable polymorph in this dataset = 0.000 eV per atom
V = 83 Å³/cell

=====

Computed, not measured: a relaxed structure of LiNbC3 at the PBE-GGA level of DFT.

```
LiNbC3
1.0
4.207 0.000 0.000
0.000 4.207 0.000
0.000 0.000 4.207
Li Nb C
1 1 3
direct
0.000 0.000 0.000 Li
0.500 0.500 0.500 Nb
0.000 0.500 0.500 C
0.500 0.000 0.500 C
0.500 0.500 0.000 C
```

symmetry = Pm-3m (221)
energy = -6.292 eV per atom
total moment = 0.00 μB per formula unit
energy above the most stable polymorph in this dataset = 0.000 eV per atom
V = 74 Å³/cell

=====

Computed, not measured: a relaxed structure of LiNbC3 at the PBE-GGA level of DFT.

```
LiNbC3
1.0
3.570 0.000 0.000
0.000 3.570 0.000
0.000 0.000 3.570
Li Nb C
1 1 3
direct
0.000 0.000 0.000 Li
0.500 0.500 0.500 Nb
0.000 0.000 0.500 C
0.000 0.500 0.000 C
0.500 0.000 0.000 C
```

symmetry = Pm-3m (221)
energy = -5.832 eV per atom
total moment = 0.00 μB per formula unit
energy above the most stable polymorph in this dataset = 0.460 eV per atom
V = 46 Å³/cell